VASP calculation (PBE) on V2Ga2Pt after structural relaxation.

Geometry as CIF:
```
data_V2Ga2Pt
_chemical_formula_sum 'V4 Ga4 Pt2'
_symmetry_space_group_name_H-M 'P 1'
_symmetry_Int_Tables_number 1
_cell_length_a 6.421
_cell_length_b 6.421
_cell_length_c 3.620
_cell_angle_alpha 90.00
_cell_angle_beta 90.00
_cell_angle_gamma 90.00
loop_
_symmetry_equiv_pos_as_xyz
'x,y,z'
loop_
_atom_site_label
_atom_site_fract_x
_atom_site_fract_y
_atom_site_fract_z
V1 0.164 0.664 0.500
V2 0.336 0.164 0.500
V3 0.836 0.336 0.500
V4 0.664 0.836 0.500
Ga1 0.136 0.364 0.000
Ga2 0.636 0.136 0.000
Ga3 0.864 0.636 0.000
Ga4 0.364 0.864 0.000
Pt1 0.000 0.000 0.000
Pt2 0.500 0.500 0.000
```

Summary:
volume = 14.93 Å³/atom
magnetic moment = 3.2 Bohr magnetons per cell
ΔH_f (0 K) = -0.219 eV per atom
ρ = 9.7 g/cm3
total energy = -0.4620 Ry/atom


VASP calculation (PBE) on NiCl after structural relaxation.

Geometry as CIF:
```
data_NiCl
_chemical_formula_sum 'Ni1 Cl1'
_symmetry_space_group_name_H-M 'P 1'
_symmetry_Int_Tables_number 1
_cell_length_a 3.518
_cell_length_b 3.518
_cell_length_c 3.518
_cell_angle_alpha 60.00
_cell_angle_beta 60.00
_cell_angle_gamma 60.00
loop_
_symmetry_equiv_pos_as_xyz
'x,y,z'
loop_
_atom_site_label
_atom_site_fract_x
_atom_site_fract_y
_atom_site_fract_z
Cl1 0.500 0.500 0.500
Ni1 0.000 0.000 0.000
```

Summary:
volume = 15.40 Å³/atom
magnetic moment = 1.0 Bohr magnetons per cell
uncorrected formation energy = 102 meV/atom
ρ = 5.1 g/cm3
total energy = -0.2728 Ry/atom